[1]
# FeTe2Se | Alexandria | meta-GGA SCAN | single point on PBEsol structure
# calculated volume = 336 Å³/cell
# magnetic moment = 3.078 μB per formula unit
# total DFT energy (no corrections) = -1.0140 hartree per atom
# space group = F-43m
# formation energy from raw total energies = 0.586 eV per atom
data_FeTe2Se
_chemical_formula_sum 'Fe4 Te8 Se4'
_cell_length_a 6.9534
_cell_length_b 6.9534
_cell_length_c 6.9534
_cell_angle_alpha 90.00
_cell_angle_beta 90.00
_cell_angle_gamma 90.00
_symmetry_space_group_name_H-M 'P 1'
_symmetry_Int_Tables_number 1
loop_
_symmetry_equiv_pos_as_xyz
'x,y,z'
loop_
_atom_site_label
_atom_site_type_symbol
_atom_site_fract_x
_atom_site_fract_y
_atom_site_fract_z
_atom_site_occupancy
Fe1 Fe 0.0000 0.0000 0.0000 1
Fe2 Fe 0.0000 0.5000 0.5000 1
Fe3 Fe 0.5000 0.0000 0.5000 1
Fe4 Fe 0.5000 0.5000 0.0000 1
Te1 Te 0.0000 0.0000 0.5000 1
Te2 Te 0.0000 0.5000 0.0000 1
Te3 Te 0.2500 0.2500 0.7500 1
Te4 Te 0.2500 0.7500 0.2500 1
Te5 Te 0.5000 0.0000 0.0000 1
Te6 Te 0.5000 0.5000 0.5000 1
Te7 Te 0.7500 0.2500 0.2500 1
Te8 Te 0.7500 0.7500 0.7500 1
Se1 Se 0.2500 0.2500 0.2500 1
Se2 Se 0.2500 0.7500 0.7500 1
Se3 Se 0.7500 0.2500 0.7500 1
Se4 Se 0.7500 0.7500 0.2500 1

[2]
# FeTe2Se | Alexandria | meta-GGA SCAN | single point on PBEsol structure
# calculated volume = 87 Å³/cell
# magnetic moment = 2.110 μB per formula unit
# total DFT energy (no corrections) = -1.0279 hartree per atom
# space group = P4mm
# formation energy from raw total energies = 0.207 eV per atom
data_FeTe2Se
_chemical_formula_sum 'Fe1 Te2 Se1'
_cell_length_a 2.9969
_cell_length_b 2.9969
_cell_length_c 9.7241
_cell_angle_alpha 90.00
_cell_angle_beta 90.00
_cell_angle_gamma 90.00
_symmetry_space_group_name_H-M 'P 1'
_symmetry_Int_Tables_number 1
loop_
_symmetry_equiv_pos_as_xyz
'x,y,z'
loop_
_atom_site_label
_atom_site_type_symbol
_atom_site_fract_x
_atom_site_fract_y
_atom_site_fract_z
_atom_site_occupancy
Fe1 Fe 0.0000 0.0000 0.0000 1
Te1 Te 0.0000 0.0000 0.4652 1
Te2 Te 0.5000 0.5000 0.8081 1
Se1 Se 0.5000 0.5000 0.1326 1

[3]
# Fe4TeSe | Alexandria | meta-GGA SCAN | single point on PBEsol structure
# calculated volume = 87 Å³/cell
# magnetic moment = 11.762 μB per formula unit
# total DFT energy (no corrections) = -0.7832 hartree per atom
# space group = F-43m
# formation energy from raw total energies = 0.330 eV per atom
data_Fe4TeSe
_chemical_formula_sum 'Fe4 Te1 Se1'
_cell_length_a 4.9656
_cell_length_b 4.9656
_cell_length_c 4.9656
_cell_angle_alpha 60.00
_cell_angle_beta 60.00
_cell_angle_gamma 60.00
_symmetry_space_group_name_H-M 'P 1'
_symmetry_Int_Tables_number 1
loop_
_symmetry_equiv_pos_as_xyz
'x,y,z'
loop_
_atom_site_label
_atom_site_type_symbol
_atom_site_fract_x
_atom_site_fract_y
_atom_site_fract_z
_atom_site_occupancy
Fe1 Fe 0.1249 0.1249 0.1249 1
Fe2 Fe 0.1249 0.1249 0.6254 1
Fe3 Fe 0.1249 0.6254 0.1249 1
Fe4 Fe 0.6254 0.1249 0.1249 1
Te1 Te 0.5000 0.5000 0.5000 1
Se1 Se 0.7500 0.7500 0.7500 1

[4]
# FeTe2Se | Alexandria | meta-GGA SCAN | single point on PBEsol structure
# calculated volume = 107 Å³/cell
# magnetic moment = 3.782 μB per formula unit
# total DFT energy (no corrections) = -1.0217 hartree per atom
# space group = Pmmm
# formation energy from raw total energies = 0.376 eV per atom
data_FeTe2Se
_chemical_formula_sum 'Fe1 Te2 Se1'
_cell_length_a 3.7976
_cell_length_b 3.9043
_cell_length_c 7.2041
_cell_angle_alpha 90.00
_cell_angle_beta 90.00
_cell_angle_gamma 90.00
_symmetry_space_group_name_H-M 'P 1'
_symmetry_Int_Tables_number 1
loop_
_symmetry_equiv_pos_as_xyz
'x,y,z'
loop_
_atom_site_label
_atom_site_type_symbol
_atom_site_fract_x
_atom_site_fract_y
_atom_site_fract_z
_atom_site_occupancy
Fe1 Fe 0.0000 0.0000 0.0000 1
Te1 Te 0.0000 0.5000 0.5000 1
Te2 Te 0.5000 0.5000 0.0000 1
Se1 Se 0.5000 0.0000 0.5000 1

- Among the records above, which one has the lowest total DFT energy (no corrections)?
  number 2

- Look up the calculated volume of the fourth one.
  107 Å³/cell

- What is the formation energy from raw total energies in the third record?
  0.330 eV per atom